(1)
The following is a DFT calculation (PBE with a Hubbard U) of a relaxed structure of NaMn2O4.

Structure (CIF):
```
data_NaMn2O4
_symmetry_space_group_name_H-M 'C m c m'
_symmetry_Int_Tables_number 63
_symmetry_space_group_name_Hall '-C 2c 2'
_cell_length_a 3.016
_cell_length_b 9.892
_cell_length_c 9.825
_cell_angle_alpha 90.00
_cell_angle_beta 90.00
_cell_angle_gamma 90.00
loop_
_atom_site_label
_atom_site_type_symbol
_atom_site_fract_x
_atom_site_fract_y
_atom_site_fract_z
_atom_site_occupancy
Na1 Na 0.000 0.107 0.250 1
Mn1 Mn 0.000 0.363 0.072 1
O1 O 0.000 0.000 0.000 1
O2 O 0.000 0.265 0.604 1
O3 O 0.000 0.435 0.250 1
```

(2)
The following is a DFT calculation (PBE with a Hubbard U) of a relaxed structure of NaMn2O4.

Structure (CIF):
```
data_NaMn2O4
_symmetry_space_group_name_H-M 'P -1'
_symmetry_Int_Tables_number 2
_cell_length_a 3.015
_cell_length_b 5.152
_cell_length_c 5.860
_cell_angle_alpha 106.96
_cell_angle_beta 91.08
_cell_angle_gamma 93.39
loop_
_symmetry_equiv_pos_as_xyz
'x,y,z'
'-x,-y,-z'
loop_
_atom_site_label
_atom_site_type_symbol
_atom_site_fract_x
_atom_site_fract_y
_atom_site_fract_z
_atom_site_occupancy
Na1 Na 0.000 0.000 0.000 1
Mn1 Mn 0.000 0.500 0.500 1
Mn2 Mn 0.500 0.000 0.500 1
O1 O 0.025 0.216 0.675 1
O2 O 0.464 0.751 0.690 1
```

The least stable of them is (1).

(1)
The following is a DFT calculation (PBE with a Hubbard U) of a relaxed structure of NaMn2O4.

Structure (CIF):
```
data_NaMn2O4
_symmetry_space_group_name_H-M 'P m c 21'
_symmetry_Int_Tables_number 26
_cell_length_a 2.921
_cell_length_b 6.599
_cell_length_c 9.026
_cell_angle_alpha 90.00
_cell_angle_beta 90.00
_cell_angle_gamma 90.00
loop_
_symmetry_equiv_pos_as_xyz
'x,y,z'
'-x,-y,z+1/2'
'-x,y,z'
'x,-y,z+1/2'
loop_
_atom_site_label
_atom_site_type_symbol
_atom_site_fract_x
_atom_site_fract_y
_atom_site_fract_z
_atom_site_occupancy
Na1 Na 0.000 0.001 0.000 1
Mn1 Mn 0.000 0.499 0.499 1
Mn2 Mn 0.500 0.282 0.750 1
O1 O 0.000 0.095 0.750 1
O2 O 0.000 0.480 0.749 1
O3 O 0.500 0.301 0.531 1
O4 O 0.500 0.302 0.968 1
```

(2)
The following is a DFT calculation (PBE with a Hubbard U) of a relaxed structure of NaMn2O4.

Structure (CIF):
```
data_NaMn2O4
_symmetry_space_group_name_H-M 'I m m a'
_symmetry_Int_Tables_number 74
_symmetry_space_group_name_Hall '-I 2b 2'
_cell_length_a 5.948
_cell_length_b 6.022
_cell_length_c 9.190
_cell_angle_alpha 90.00
_cell_angle_beta 90.00
_cell_angle_gamma 90.00
loop_
_atom_site_label
_atom_site_type_symbol
_atom_site_fract_x
_atom_site_fract_y
_atom_site_fract_z
_atom_site_occupancy
Na1 Na 0.000 0.250 0.115 1
Mn1 Mn 0.000 0.000 0.500 1
Mn2 Mn 0.250 0.250 0.750 1
O1 O 0.000 0.041 0.745 1
O2 O 0.215 0.250 0.535 1
```

(3)
The following is a DFT calculation (PBE with a Hubbard U) of a relaxed structure of NaMn2O4.

Structure (CIF):
```
data_NaMn2O4
_symmetry_space_group_name_H-M 'P n m a'
_symmetry_Int_Tables_number 62
_cell_length_a 9.017
_cell_length_b 2.919
_cell_length_c 11.323
_cell_angle_alpha 90.00
_cell_angle_beta 90.00
_cell_angle_gamma 90.00
loop_
_symmetry_equiv_pos_as_xyz
'x,y,z'
'-x,-y,-z'
'-x+1/2,-y,z+1/2'
'x+1/2,y,-z+1/2'
'x+1/2,-y+1/2,-z+1/2'
'-x+1/2,y+1/2,z+1/2'
'-x,y+1/2,-z'
'x,-y+1/2,z'
loop_
_atom_site_label
_atom_site_type_symbol
_atom_site_fract_x
_atom_site_fract_y
_atom_site_fract_z
_atom_site_occupancy
Na1 Na 0.249 0.250 0.164 1
Mn1 Mn 0.071 0.250 0.389 1
Mn2 Mn 0.081 0.250 0.904 1
O1 O 0.027 0.750 0.802 1
O2 O 0.068 0.250 0.585 1
O3 O 0.117 0.750 0.019 1
O4 O 0.212 0.750 0.348 1
```

The least stable of them is (2).

(1)
The following is a DFT calculation (PBE with a Hubbard U) of a relaxed structure of NaMn3O6.

Structure (CIF):
```
data_NaMn3O6
_symmetry_space_group_name_H-M 'P 1 21/m 1'
_symmetry_Int_Tables_number 11
_cell_length_a 8.772
_cell_length_b 2.922
_cell_length_c 9.447
_cell_angle_alpha 90.00
_cell_angle_beta 111.73
_cell_angle_gamma 90.00
loop_
_symmetry_equiv_pos_as_xyz
'x,y,z'
'-x,-y,-z'
'-x,y+1/2,-z'
'x,-y+1/2,z'
loop_
_atom_site_label
_atom_site_type_symbol
_atom_site_fract_x
_atom_site_fract_y
_atom_site_fract_z
_atom_site_occupancy
Na1 Na 0.147 0.250 0.444 1
Mn1 Mn 0.162 0.750 0.039 1
Mn2 Mn 0.239 0.250 0.784 1
Mn3 Mn 0.462 0.250 0.352 1
O1 O 0.041 0.250 0.905 1
O2 O 0.138 0.750 0.647 1
O3 O 0.257 0.250 0.176 1
O4 O 0.310 0.750 0.936 1
O5 O 0.369 0.750 0.440 1
O6 O 0.441 0.250 0.712 1
```

(2)
The following is a DFT calculation (PBE with a Hubbard U) of a relaxed structure of NaMn3O6.

Structure (CIF):
```
data_NaMn3O6
_symmetry_space_group_name_H-M 'F d d d'
_symmetry_Int_Tables_number 70
_cell_length_a 8.440
_cell_length_b 8.457
_cell_length_c 26.420
_cell_angle_alpha 90.00
_cell_angle_beta 90.00
_cell_angle_gamma 90.00
loop_
_symmetry_equiv_pos_as_xyz
'x,y,z'
'-x,-y,-z'
'-x+1/4,-y+1/4,z'
'x+1/4,y+1/4,-z'
'x,-y+1/4,-z+1/4'
'-x,y+1/4,z+1/4'
'-x+1/4,y,-z+1/4'
'x+1/4,-y,z+1/4'
'x,y+1/2,z+1/2'
'-x,-y+1/2,-z+1/2'
'-x+1/4,-y+3/4,z+1/2'
'x+1/4,y+3/4,-z+1/2'
'x,-y+3/4,-z+3/4'
'-x,y+3/4,z+3/4'
'-x+1/4,y+1/2,-z+3/4'
'x+1/4,-y+1/2,z+3/4'
'x+1/2,y,z+1/2'
'-x+1/2,-y,-z+1/2'
'-x+3/4,-y+1/4,z+1/2'
'x+3/4,y+1/4,-z+1/2'
'x+1/2,-y+1/4,-z+3/4'
'-x+1/2,y+1/4,z+3/4'
'-x+3/4,y,-z+3/4'
'x+3/4,-y,z+3/4'
'x+1/2,y+1/2,z'
'-x+1/2,-y+1/2,-z'
'-x+3/4,-y+3/4,z'
'x+3/4,y+3/4,-z'
'x+1/2,-y+3/4,-z+1/4'
'-x+1/2,y+3/4,z+1/4'
'-x+3/4,y+1/2,-z+1/4'
'x+3/4,-y+1/2,z+1/4'
loop_
_atom_site_label
_atom_site_type_symbol
_atom_site_fract_x
_atom_site_fract_y
_atom_site_fract_z
_atom_site_occupancy
Na1 Na 0.125 0.125 0.291 1
Mn1 Mn 0.000 0.000 0.500 1
Mn2 Mn 0.005 0.004 0.837 1
O1 O 0.017 0.017 0.762 1
O2 O 0.019 0.019 0.090 1
O3 O 0.020 0.021 0.414 1
```

The least stable of them is (2).

(1)
The following is a DFT calculation (PBE with a Hubbard U) of a relaxed structure of NaMn2O.

Structure (CIF):
```
data_NaMn2O
_symmetry_space_group_name_H-M 'F m -3 m'
_symmetry_Int_Tables_number 225
_symmetry_space_group_name_Hall '-F 4 2 3'
_cell_length_a 6.491
_cell_length_b 6.491
_cell_length_c 6.491
_cell_angle_alpha 90.00
_cell_angle_beta 90.00
_cell_angle_gamma 90.00
loop_
_atom_site_label
_atom_site_type_symbol
_atom_site_fract_x
_atom_site_fract_y
_atom_site_fract_z
_atom_site_occupancy
Na1 Na 0.000 0.000 0.000 1
Mn1 Mn 0.250 0.250 0.250 1
O1 O 0.000 0.000 0.500 1
```

(2)
The following is a DFT calculation (PBE with a Hubbard U) of a relaxed structure of NaMn2O.

Structure (CIF):
```
data_NaMn2O
_symmetry_space_group_name_H-M 'I 41/a m d'
_symmetry_Int_Tables_number 141
_cell_length_a 6.518
_cell_length_b 6.518
_cell_length_c 9.379
_cell_angle_alpha 90.00
_cell_angle_beta 90.00
_cell_angle_gamma 90.00
loop_
_symmetry_equiv_pos_as_xyz
'x,y,z'
'-x,-y,-z'
'-y+1/4,x+3/4,z+1/4'
'y+1/4,-x+3/4,-z+1/4'
'-x+1/2,-y,z+1/2'
'x+1/2,y,-z+1/2'
'y+1/4,-x+1/4,z+3/4'
'-y+1/4,x+1/4,-z+3/4'
'x,-y,-z'
'-x,y,z'
'-y+1/4,-x+1/4,-z+3/4'
'y+1/4,x+1/4,z+3/4'
'-x+1/2,y,-z+1/2'
'x+1/2,-y,z+1/2'
'y+1/4,x+3/4,-z+1/4'
'-y+1/4,-x+3/4,z+1/4'
'x+1/2,y+1/2,z+1/2'
'-x+1/2,-y+1/2,-z+1/2'
'-y+3/4,x+1/4,z+3/4'
'y+3/4,-x+1/4,-z+3/4'
'-x,-y+1/2,z'
'x,y+1/2,-z'
'y+3/4,-x+3/4,z+1/4'
'-y+3/4,x+3/4,-z+1/4'
'x+1/2,-y+1/2,-z+1/2'
'-x+1/2,y+1/2,z+1/2'
'-y+3/4,-x+3/4,-z+1/4'
'y+3/4,x+3/4,z+1/4'
'-x,y+1/2,-z'
'x,-y+1/2,z'
'y+3/4,x+1/4,-z+3/4'
'-y+3/4,-x+1/4,z+3/4'
loop_
_atom_site_label
_atom_site_type_symbol
_atom_site_fract_x
_atom_site_fract_y
_atom_site_fract_z
_atom_site_occupancy
Na1 Na 0.000 0.250 0.375 1
Mn1 Mn 0.000 0.000 0.000 1
O1 O 0.000 0.250 0.875 1
```

The least stable of them is (1).